Record 1
This record from Alexandria via LeMat-Bulk describes an optimized crystal structure of ScMn2Se. The functional is PBE-GGA.

Results
- formation energy (no corrections) (eV/atom) = -0.249
- magnetic moment (μB per cell) = 1.91

a b c (Å): 3.8679 3.8679 14.6201
angles (deg): 90.00 90.00 120.00
Space group R3m (No. 160, hexagonal axes)
Asymmetric unit:
Sc 0.0000 0.0000 0.0000 x3
Mn 0.0000 0.0000 0.2099 x3
Mn 0.0000 0.0000 0.5210 x3
Se 0.0000 0.0000 0.7834 x3

Record 2
This record from Alexandria via LeMat-Bulk describes an optimized crystal structure of Y3Th2Sc2. The functional is PBE-GGA.

Results
- ΔH_f (0 K) (kJ/mol of atoms) = 7
- polymorph energy (0 for the lowest one) (meV/atom) = 0
- magnetic moment (μB per cell) = 0.00

a b c (Å): 3.451 8.308 8.601
angles (deg): 118.43 90.02 101.96
Space group P-1 (No. 2)
Asymmetric unit:
Y 0.000 0.000 0.000 x1
Y 0.071 0.142 0.424 x2
Th 0.349 0.699 0.157 x2
Sc 0.292 0.583 0.705 x2

Record 3
This record from Alexandria via LeMat-Bulk describes an optimized crystal structure of Ba2AlTc. The functional is PBE-GGA.

Results
- ΔH_f (0 K) (kJ/mol of atoms) = 41
- magnetic moment (μB per cell) = 0.00

a b c (Å): 11.574 11.574 4.942
angles (deg): 90.00 90.00 90.00
Space group I-42d (No. 122)
Asymmetric unit:
Ba 0.047 0.250 0.125 x8
Al 0.000 0.000 0.500 x4
Tc 0.000 0.000 0.000 x4

Record 4
This record from Alexandria via LeMat-Bulk describes an optimized crystal structure of LiTl8Hg2. The functional is PBE-GGA.

Results
- ΔH_f (0 K) (kJ/mol of atoms) = 1
- magnetic moment (μB per cell) = 0.00

a b c (Å): 15.116 7.397 6.056
angles (deg): 90.00 105.85 90.00
Space group C2/m (No. 12)
Asymmetric unit:
Li 0.000 0.000 0.000 x2
Tl 0.063 0.288 0.782 x8
Tl 0.155 0.500 0.345 x4
Tl 0.225 0.000 0.058 x4
Hg 0.122 0.000 0.444 x4

Record 5
This record from Alexandria via LeMat-Bulk describes an optimized crystal structure of ZnNi3B. The functional is PBE-GGA.

Results
- ΔH_f (0 K) (kJ/mol of atoms) = -19
- polymorph energy (0 for the lowest one) (meV/atom) = 0
- magnetic moment (μB per cell) = 0.00

a b c (Å): 6.847 2.514 5.959
angles (deg): 90.00 90.00 90.00
Space group Pmma (No. 51)
Asymmetric unit:
Zn 0.250 0.000 0.071 x2
Ni 0.052 0.500 0.781 x4
Ni 0.250 0.500 0.447 x2
B 0.000 0.000 0.500 x2

Record 6
This record from Alexandria via LeMat-Bulk describes an optimized crystal structure of KZrRhS3. The functional is PBE-GGA.

Results
- formation energy (no corrections) (eV/atom) = -1.194
- magnetic moment (μB per cell) = 0.00

a b c (Å): 8.507 3.749 9.281
angles (deg): 90.00 110.14 90.00
Space group P2_1/m (No. 11)
Asymmetric unit:
K 0.215 0.250 0.243 x2
Zr 0.316 0.750 0.839 x2
Rh 0.094 0.250 0.596 x2
S 0.120 0.250 0.864 x2
S 0.227 0.750 0.545 x2
S 0.460 0.750 0.145 x2

Record 7
This record from Alexandria via LeMat-Bulk describes an optimized crystal structure of LiSi2Au6. The functional is PBE-GGA.

Results
- formation energy (no corrections) (eV/atom) = -0.094
- magnetic moment (μB per cell) = 0.00

a b c (Å): 4.199 10.524 13.609
angles (deg): 90.00 90.00 90.00
Space group Fmmm (No. 69)
Asymmetric unit:
Li 0.000 0.000 0.000 x4
Si 0.000 0.000 0.357 x8
Au 0.000 0.146 0.171 x16
Au 0.000 0.159 0.500 x8

Record 8
This record from Alexandria via LeMat-Bulk describes an optimized crystal structure of DyHoTm2. The functional is PBE-GGA.

Results
- ΔH_f (0 K) (kJ/mol of atoms) = 0
- polymorph energy (0 for the lowest one) (meV/atom) = 1
- magnetic moment (μB per cell) = 0.00

a b c (Å): 3.576 5.568 6.192
angles (deg): 90.00 90.00 90.00
Space group Pmm2 (No. 25)
Asymmetric unit:
Dy 0.000 0.000 0.000 x1
Ho 0.000 0.500 0.334 x1
Tm 0.500 0.000 0.501 x1
Tm 0.500 0.500 0.833 x1